Entry 1:
A relaxed LiMgAlAg2 crystal. Source: Alexandria, functional PBE-GGA.

a = 4.1155 Å, b = 6.7444 Å, c = 6.2266 Å
α = 94.47°, β = 90.00°, γ = 90.00°
With the nearest neighbours (Å) after each atom.
Fractional coordinates of all 10 atoms:
Ag: 0.7500 0.8464 0.5375  3 Al 2.79-2.82, 3 Mg 2.81-3.03, 3 Ag 2.86-2.98, 3 Li 2.91-2.98
Ag: 0.7500 0.6701 0.9413  3 Li 2.76-3.00, 3 Mg 2.80-2.89, 3 Al 2.82-2.90, 1 Ag 2.86
Ag: 0.2500 0.3299 0.0587  3 Li 2.76-3.00, 3 Mg 2.80-2.89, 3 Al 2.82-2.90, 1 Ag 2.86
Ag: 0.2500 0.1536 0.4625  3 Al 2.79-2.82, 3 Mg 2.81-3.03, 3 Ag 2.86-2.98, 3 Li 2.91-2.98
Li: 0.7500 0.4425 0.3362  6 Ag 2.76-3.00, 1 Al 2.78, 3 Mg 2.95-2.97, 2 Li 2.96
Li: 0.2500 0.5575 0.6638  6 Ag 2.76-3.00, 1 Al 2.78, 3 Mg 2.95-2.97, 2 Li 2.96
Al: 0.2500 0.9499 0.8355  1 Li 2.78, 6 Ag 2.79-2.90, 2 Al 2.94, 3 Mg 3.02
Al: 0.7500 0.0501 0.1645  1 Li 2.78, 6 Ag 2.79-2.90, 2 Al 2.94, 3 Mg 3.02
Mg: 0.2500 0.7365 0.2435  6 Ag 2.80-3.03, 3 Li 2.95-2.97, 3 Al 3.02
Mg: 0.7500 0.2635 0.7565  6 Ag 2.80-3.03, 3 Li 2.95-2.97, 3 Al 3.02

Polymorph energy (0 for the lowest one) = 0.000 eV per atom
Crystal system = monoclinic
Formation energy from the elements = -175 meV/atom
Size of the total moment = 0.000 μB per atom


Entry 2:
A relaxed LiMnAlAg2 crystal. Source: Alexandria, functional PBE-GGA.

a = 4.9002 Å, b = 4.8212 Å, c = 4.9002 Å
α = 90.00°, β = 90.00°, γ = 90.00°
With the nearest neighbours (Å) after each atom.
Fractional coordinates of all 5 atoms:
Al: 0.0000 0.0000 0.0000  2 Mn 2.41, 4 Ag 2.45
Mn: 0.0000 0.5000 0.0000  2 Al 2.41
Ag: 0.5000 0.0000 0.0000  2 Al 2.45
Ag: 0.0000 0.0000 0.5000  2 Al 2.45
Li: 0.5000 0.5000 0.5000  8 Ag 3.44, 4 Mn 3.46

Crystal system = tetragonal
Formation energy from the elements = 514 meV/atom
Size of the total moment = 0.796 μB per atom


Entry 3:
A relaxed Li2AlAgN crystal. Source: Alexandria, functional PBE-GGA.

a = 4.1935 Å, b = 4.1935 Å, c = 3.7308 Å
α = 90.00°, β = 90.00°, γ = 90.00°
With the nearest neighbours (Å) after each atom.
Fractional coordinates of all 5 atoms:
Li: 0.5000 0.0000 0.0000  2 N 2.10
Li: 0.0000 0.5000 0.0000  2 N 2.10
N: 0.0000 0.0000 0.0000  2 Al 1.87
Al: 0.0000 0.0000 0.5000  2 N 1.87
Ag: 0.5000 0.5000 0.5000  8 Li 2.81, 4 Al 2.97

E_form (uncorrected) = -369 meV/atom
Crystal system = tetragonal
Size of the total moment = 0.000 μB per atom


Entry 4:
A relaxed LiAl2AgN crystal. Source: Alexandria, functional PBE-GGA.

a = 3.9376 Å, b = 3.9376 Å, c = 4.1845 Å
α = 90.00°, β = 90.00°, γ = 90.00°
With the nearest neighbours (Å) after each atom.
Fractional coordinates of all 5 atoms:
Al: 0.0000 0.5000 0.0000  2 N 1.97
Al: 0.5000 0.0000 0.0000  2 N 1.97
Li: 0.0000 0.0000 0.5000  2 N 2.09
Ag: 0.5000 0.5000 0.5000  4 Li 2.78, 8 Al 2.87
N: 0.0000 0.0000 0.0000  4 Al 1.97, 2 Li 2.09

E_form (uncorrected) = -283 meV/atom
Crystal system = tetragonal
Size of the total moment = 0.000 μB per atom


Entry 5:
A relaxed NaLiAlAg crystal. Source: Alexandria, functional PBE-GGA.

a = 4.7194 Å, b = 4.7194 Å, c = 4.7194 Å
α = 60.00°, β = 60.00°, γ = 60.00°
With the nearest neighbours (Å) after each atom.
Fractional coordinates of all 4 atoms:
Ag: 0.2500 0.2500 0.2500  4 Na 2.89, 4 Al 2.89
Li: 0.7500 0.7500 0.7500  4 Al 2.89, 4 Na 2.89
Al: 0.5000 0.5000 0.5000  4 Ag 2.89, 4 Li 2.89
Na: 0.0000 0.0000 0.0000  4 Li 2.89, 4 Ag 2.89

Crystal system = cubic
Formation energy from the elements = -35 meV/atom
Size of the total moment = 0.000 μB per atom


Entry 6:
A relaxed Li2Nd2Al5Ag crystal. Source: Alexandria, functional PBE-GGA.

a = 4.3057 Å, b = 9.4769 Å, c = 9.4769 Å
α = 90.00°, β = 90.00°, γ = 90.00°
With the nearest neighbours (Å) after each atom.
Fractional coordinates of all 20 atoms:
Ag: 0.0000 0.5000 0.5000  8 Al 2.94
Ag: 0.0000 0.0000 0.0000  8 Al 2.94
Li: 0.0000 0.3893 0.1107  6 Al 2.61-2.83, 3 Nd 2.76-2.87
Li: 0.0000 0.8893 0.3893  6 Al 2.61-2.83, 3 Nd 2.76-2.87
Li: 0.0000 0.6107 0.8893  6 Al 2.61-2.83, 3 Nd 2.76-2.87
Li: 0.0000 0.1107 0.6107  6 Al 2.61-2.83, 3 Nd 2.76-2.87
Nd: 0.0000 0.1838 0.3162  3 Li 2.76-2.87
Nd: 0.0000 0.3162 0.8162  3 Li 2.76-2.87
Nd: 0.0000 0.6838 0.1838  3 Li 2.76-2.87
Nd: 0.0000 0.8162 0.6838  3 Li 2.76-2.87
Al: 0.5000 0.5000 0.0000  4 Li 2.61, 4 Al 2.86
Al: 0.5000 0.4447 0.2966  3 Al 2.82-2.86, 2 Li 2.83, 2 Ag 2.94
Al: 0.5000 0.5553 0.7034  3 Al 2.82-2.86, 2 Li 2.83, 2 Ag 2.94
Al: 0.5000 0.0000 0.5000  4 Li 2.61, 4 Al 2.86
Al: 0.5000 0.2034 0.0553  3 Al 2.82-2.86, 2 Li 2.83, 2 Ag 2.94
Al: 0.5000 0.7034 0.4447  3 Al 2.82-2.86, 2 Li 2.83, 2 Ag 2.94
Al: 0.5000 0.7966 0.9447  3 Al 2.82-2.86, 2 Li 2.83, 2 Ag 2.94
Al: 0.5000 0.2966 0.5553  3 Al 2.82-2.86, 2 Li 2.83, 2 Ag 2.94
Al: 0.5000 0.9447 0.2034  3 Al 2.82-2.86, 2 Li 2.83, 2 Ag 2.94
Al: 0.5000 0.0553 0.7966  3 Al 2.82-2.86, 2 Li 2.83, 2 Ag 2.94

Crystal system = tetragonal
Formation energy from the elements = -277 meV/atom
Size of the total moment = 0.000 μB per atom


Entry 7:
A relaxed LiNdAl2Ag4 crystal. Source: Alexandria, functional PBE-GGA.

a = 4.5412 Å, b = 4.5412 Å, c = 8.9432 Å
α = 75.29°, β = 75.29°, γ = 60.00°
With the nearest neighbours (Å) after each atom.
Fractional coordinates of all 8 atoms:
Al: 0.2434 0.2434 0.2698  7 Ag 2.68-2.84
Al: 0.7566 0.7566 0.7302  7 Ag 2.68-2.84
Li: 0.5000 0.5000 0.5000  8 Ag 2.54-2.76
Ag: 0.8671 0.8671 0.3988  3 Li 2.76, 4 Al 2.83-2.84
Ag: 0.1329 0.1329 0.6012  3 Li 2.76, 4 Al 2.83-2.84
Ag: 0.5990 0.5990 0.2031  1 Li 2.54, 3 Al 2.68
Ag: 0.4010 0.4010 0.7969  1 Li 2.54, 3 Al 2.68
Nd: 0.0000 0.0000 0.0000  8 Ag 3.14-3.41, 6 Al 3.49

Crystal system = trigonal
Formation energy from the elements = -255 meV/atom
Size of the total moment = 0.000 μB per atom


Entry 8:
A relaxed LiNdAlAg3 crystal. Source: Alexandria, functional PBE-GGA.

a = 6.1216 Å, b = 6.2902 Å, c = 7.0820 Å
α = 116.37°, β = 90.00°, γ = 90.00°
With the nearest neighbours (Å) after each atom.
Fractional coordinates of all 12 atoms:
Ag: 0.2500 0.1500 0.2999  1 Al 2.65, 1 Li 2.81
Ag: 0.5000 0.2788 0.0000  2 Li 2.50, 2 Al 2.74, 1 Ag 2.78
Ag: 0.0000 0.2788 0.0000  2 Li 2.50, 2 Al 2.74, 1 Ag 2.78
Ag: 0.0000 0.7212 0.0000  2 Li 2.50, 2 Al 2.74, 1 Ag 2.78
Ag: 0.7500 0.8500 0.7001  1 Al 2.65, 1 Li 2.81
Ag: 0.5000 0.7212 0.0000  2 Li 2.50, 2 Al 2.74, 1 Ag 2.78
Al: 0.7500 0.6411 0.2821  5 Ag 2.65-2.74
Al: 0.2500 0.3589 0.7179  5 Ag 2.65-2.74
Nd: 0.7500 0.2976 0.5953  1 Li 2.87, 2 Al 3.16, 2 Ag 3.21
Nd: 0.2500 0.7024 0.4047  1 Li 2.87, 2 Al 3.16, 2 Ag 3.21
Li: 0.2500 0.9286 0.8571  4 Ag 2.50
Li: 0.7500 0.0714 0.1429  4 Ag 2.50

Crystal system = orthorhombic
Formation energy from the elements = -129 meV/atom
Size of the total moment = 0.000 μB per atom


Entry 9:
A relaxed LiNd2Al4Ag3 crystal. Source: Alexandria, functional PBE-GGA.

a = 4.3028 Å, b = 4.3028 Å, c = 11.3151 Å
α = 90.00°, β = 90.00°, γ = 90.00°
With the nearest neighbours (Å) after each atom.
Fractional coordinates of all 10 atoms:
Al: 0.5000 0.0000 0.6390  3 Ag 2.56-2.67, 2 Li 2.67
Al: 0.0000 0.0000 0.0000  4 Ag 2.63
Al: 0.0000 0.5000 0.3610  3 Ag 2.56-2.67, 2 Li 2.67
Al: 0.5000 0.5000 0.0000  4 Ag 2.63
Nd: 0.5000 0.0000 0.2454  6 Ag 3.29-3.60, 8 Al 3.31-3.51, 2 Li 3.60
Nd: 0.0000 0.5000 0.7546  6 Ag 3.29-3.60, 8 Al 3.31-3.51, 2 Li 3.60
Ag: 0.0000 0.0000 0.5000  4 Al 2.67
Ag: 0.0000 0.5000 0.1344  5 Al 2.56-2.63
Ag: 0.5000 0.0000 0.8656  5 Al 2.56-2.63
Li: 0.5000 0.5000 0.5000  4 Al 2.67

Crystal system = tetragonal
Formation energy from the elements = -307 meV/atom
Size of the total moment = 0.000 μB per atom


Entry 10:
A relaxed Li2NdAlAg4 crystal. Source: Alexandria, functional PBE-GGA.

a = 4.5149 Å, b = 4.5149 Å, c = 9.2220 Å
α = 75.83°, β = 75.83°, γ = 60.00°
With the nearest neighbours (Å) after each atom.
Fractional coordinates of all 8 atoms:
Li: 0.7643 0.7643 0.7071  7 Ag 2.72-2.78
Li: 0.2357 0.2357 0.2929  7 Ag 2.72-2.78
Ag: 0.4013 0.4013 0.7962  1 Al 2.62, 3 Li 2.72
Ag: 0.1311 0.1311 0.6068  4 Li 2.75-2.78, 3 Al 2.77
Ag: 0.8689 0.8689 0.3932  4 Li 2.75-2.78, 3 Al 2.77
Ag: 0.5987 0.5987 0.2038  1 Al 2.62, 3 Li 2.72
Nd: 0.0000 0.0000 0.0000  8 Ag 3.17-3.48
Al: 0.5000 0.5000 0.5000  8 Ag 2.62-2.77

Crystal system = trigonal
Formation energy from the elements = -188 meV/atom
Size of the total moment = 0.000 μB per atom


Entry 11:
A relaxed Li2AlNiAg crystal. Source: Alexandria, functional PBE-GGA.

a = 4.7445 Å, b = 4.3394 Å, c = 4.7445 Å
α = 90.00°, β = 90.00°, γ = 90.00°
With the nearest neighbours (Å) after each atom.
Fractional coordinates of all 5 atoms:
Ag: 0.5000 0.5000 0.5000  8 Li 3.21, 4 Ni 3.35
Ni: 0.0000 0.5000 0.0000  2 Al 2.17
Li: 0.0000 0.0000 0.5000  2 Al 2.37
Li: 0.5000 0.0000 0.0000  2 Al 2.37
Al: 0.0000 0.0000 0.0000  2 Ni 2.17, 4 Li 2.37

Crystal system = tetragonal
Formation energy from the elements = 453 meV/atom
Size of the total moment = 0.000 μB per atom


Entry 12:
A relaxed LiAlAg2O crystal. Source: Alexandria, functional PBE-GGA.

a = 4.7609 Å, b = 5.1549 Å, c = 4.7609 Å
α = 90.00°, β = 90.00°, γ = 90.00°
With the nearest neighbours (Å) after each atom.
Fractional coordinates of all 5 atoms:
O: 0.5000 0.5000 0.5000  4 Li 3.37, 8 Ag 3.51
Ag: 0.5000 0.0000 0.0000  2 Al 2.38
Ag: 0.0000 0.0000 0.5000  2 Al 2.38
Al: 0.0000 0.0000 0.0000  4 Ag 2.38, 2 Li 2.58
Li: 0.0000 0.5000 0.0000  2 Al 2.58

E_form (uncorrected) = 794 meV/atom
Crystal system = tetragonal
Size of the total moment = 0.000 μB per atom